A relaxed ScMnO2F crystal, computed with GGA+U.

Cell and atoms, written as POSCAR:
```
ScMnO2F
1.0
4.096 0.000 0.000
0.000 4.096 0.000
0.000 0.000 3.950
Sc Mn O F
1 1 2 1
Cartesian
0.000 0.000 0.000
2.048 2.048 1.975
0.000 2.048 0.000
2.048 0.000 0.000
0.000 0.000 1.975
```

Results
* crystal system: tetragonal
* calculated total energy: -7.484 eV/atom
* space-group type: P4/mmm (123)
* total magnetization: 1.0004 μB per atom